Here is a relaxed structure of TcSe2I from Alexandria via LeMat-Bulk. Energies are from PBE.

a = 6.4634 Å, b = 6.4634 Å, c = 6.6300 Å
α = 107.21°, β = 107.21°, γ = 111.51°
With the nearest neighbours (Å) after each atom.
Fractional coordinates of all 8 atoms:
Tc: 0.1066 0.8934 0.5000  4 Se 2.33-2.55
Tc: 0.8934 0.1066 0.0000  4 Se 2.33-2.55
Se: 0.1393 0.2389 0.8028  2 Tc 2.41-2.42
Se: 0.2389 0.1393 0.3028  2 Tc 2.41-2.42
Se: 0.4706 0.8727 0.6346  2 Tc 2.33-2.55
Se: 0.8727 0.4706 0.1346  2 Tc 2.33-2.55
I: 0.6315 0.8710 0.2124  2 Tc 2.82-3.02
I: 0.8710 0.6315 0.7124  2 Tc 2.82-3.02

Summary:
Energy (eV per atom): -4.756
Uncorrected formation energy (eV/atom): -0.034
M_tot (μB per atom): 0.000
SG: No. 9
Offset from the most stable computed form (meV per atom): 174